No. 1
Computed, not measured: ReSiNi2 after structural relaxation at the PBE level of DFT.

## Properties
* volume: 12.02 A^3/atom
* symmetry: F-43m
* raw total energy: -7.3729 eV/atom

Cell lengths 4.081, 4.081, 4.081 Å; angles 60.00, 60.00, 60.00 degrees
Fractional coordinates of all 4 atoms:
Ni (0.750, 0.750, 0.750)
Ni (0.000, 0.000, 0.000)
Re (0.250, 0.250, 0.250)
Si (0.500, 0.500, 0.500)



No. 2
Computed, not measured: TaReSiNi after structural relaxation at the PBE level of DFT.

## Properties
* volume: 14.43 A^3/atom
* symmetry: F-43m
* raw total energy: -8.7174 eV/atom

Cell lengths 4.338, 4.338, 4.338 Å; angles 60.00, 60.00, 60.00 degrees
Fractional coordinates of all 4 atoms:
Ni (0.750, 0.750, 0.750)
Ta (0.250, 0.250, 0.250)
Re (0.500, 0.500, 0.500)
Si (0.000, 0.000, 0.000)



No. 3
Computed, not measured: ReNiSn after structural relaxation at the PBE level of DFT.

## Properties
* volume: 17.24 A^3/atom
* symmetry: F-43m
* raw total energy: -6.8037 eV/atom

Cell lengths 4.182, 4.182, 4.182 Å; angles 60.00, 60.00, 60.00 degrees
Fractional coordinates of all 3 atoms:
Sn (0.750, 0.750, 0.750)
Re (0.250, 0.250, 0.250)
Ni (0.000, 0.000, 0.000)



No. 4
Computed, not measured: ReNi6Sn after structural relaxation at the PBE level of DFT.

## Properties
* volume: 12.18 A^3/atom
* symmetry: P-6m2
* raw total energy: -6.2744 eV/atom

Cell lengths 5.148, 5.148, 4.244 Å; angles 90.00, 90.00, 120.00 degrees
Fractional coordinates of all 8 atoms:
Ni (0.326, 0.163, 0.500)
Ni (0.837, 0.674, 0.500)
Ni (0.985, 0.492, 0.000)
Ni (0.837, 0.163, 0.500)
Ni (0.508, 0.015, 0.000)
Ni (0.508, 0.492, 0.000)
Re (0.000, 0.000, 0.000)
Sn (0.333, 0.667, 0.500)